Below is Tb2Pr4DyMg after structural relaxation, with properties calculated at the GGA-PBE level.

Computed properties:
- Space-group type: No. 123
- Energy of formation from the pure elements: 0.4 eV per formula unit
- E_tot: -4.272 eV/atom
- Fermi-level density of states: 1.33 states/eV per atom
- Calculated density: 6.711 g cm⁻³

Cell: 5.841 5.842 9.702 Å, 52.98 90.00 90.00°
Positions (direct):
Tb: 0.000 0.000 0.000
Tb: 0.500 0.000 0.500
Pr: 0.000 0.761 0.739
Pr: 0.000 0.239 0.261
Pr: 0.500 0.738 0.262
Pr: 0.500 0.262 0.738
Dy: 0.500 0.500 0.000
Mg: 0.000 0.500 0.500